## one
## TiInCl2 (PBE)

Data for a relaxed TiInCl2 crystal.

abc: 3.2607 3.2607 29.7798
angles: 90.00 90.00 120.00
Last column: nearest neighbours and their distance in Å.
Space group R-3m (No. 166, hexagonal axes)
One atom of each set of equivalent atoms:
Ti1 0.0000 0.0000 0.0000  6 Cl 2.48
In1 0.0000 0.0000 0.5000  6 In 3.26, 2 Cl 3.34
Cl1 0.0000 0.0000 0.3878  3 Ti 2.48

Output
* spin magnetization: 0.00 μB/cell
* volume: 274.2 Å³/cell



## two
## TiInCl2 (PBE)

Data for a relaxed TiInCl2 crystal.

abc: 6.7608 6.7608 11.1477
angles: 90.00 90.00 90.00
Last column: nearest neighbours and their distance in Å.
Space group I-42d (No. 122)
One atom of each set of equivalent atoms:
Ti1 0.0000 0.0000 0.0000  4 Cl 2.40
In1 0.0000 0.0000 0.5000  4 Cl 3.26
Cl1 0.1438 0.2500 0.1250  2 Ti 2.40

Output
* spin magnetization: 10.69 μB/cell
* volume: 509.5 Å³/cell



Quick look at relative energies in meV per atom: one 0; two 436.